This record from the Alexandria database describes a relaxed structure of TmHfCdOs. The functional is PBE.

```
TmHfCdOs
1.0
0.000 3.427 3.427
3.427 0.000 3.427
3.427 3.427 0.000
Tm Hf Cd Os
1 1 1 1
Cartesian
0.000 0.000 0.000
3.427 3.427 3.427
5.140 5.140 5.140
1.713 1.713 1.713
```

Values from the calculation:
Space-group type   F-43m (216)
DFT formation energy   -82 kJ/mol of formula units
D(E_F)   2.2 states/eV per cell